1.
Ac3Mo2N7: optimized geometry, GGA-PBE.

abc: 11.4000 11.4000 3.9754
angles: 90.00 90.00 159.43
Positions (direct):
Ac  0.0000  0.0000  0.0000
Ac  0.1740  0.8260  0.0000
Ac  0.8260  0.1740  0.0000
Mo  0.4055  0.5945  0.5000
Mo  0.5945  0.4055  0.5000
N  0.0925  0.9075  0.5000
N  0.3155  0.6845  0.5000
N  0.4071  0.5929  0.0000
N  0.5000  0.5000  0.5000
N  0.5929  0.4071  0.0000
N  0.6845  0.3155  0.5000
N  0.9075  0.0925  0.5000

Values from the calculation:
Crystal system ... orthorhombic
Relative energy among the computed polymorphs ... 118 meV/atom



2.
In2B2Ir3: optimized geometry, GGA-PBE.

abc: 3.3161 4.8511 7.0600
angles: 70.98 78.73 84.90
Positions (direct):
In  0.1902  0.1943  0.1270
In  0.8098  0.8057  0.8730
B  0.0734  0.7050  0.4508
B  0.9266  0.2950  0.5492
Ir  0.3387  0.4005  0.7062
Ir  0.5000  0.0000  0.5000
Ir  0.6613  0.5995  0.2938

Values from the calculation:
Crystal system ... triclinic
Energy of formation from the pure elements ... -2.2 kJ/mol of atoms



3.
Y5Zn: optimized geometry, GGA-PBE.

abc: 5.4977 8.9545 8.9545
angles: 23.55 90.00 90.00
Positions (direct):
Y  0.0000  0.0000  0.0000
Y  0.0000  0.3172  0.3172
Y  0.5000  0.1978  0.1978
Y  0.5000  0.5433  0.5433
Y  0.5000  0.8726  0.8726
Zn  0.0000  0.6524  0.6524

Values from the calculation:
Crystal system ... orthorhombic
Relative energy among the computed polymorphs ... 100 meV/atom
Energy of formation from the pure elements ... -0.4 kJ/mol of atoms



4.
TlIr2Os: optimized geometry, GGA-PBE.

abc: 4.5506 4.5506 4.5506
angles: 60.00 60.00 60.00
Positions (direct):
Tl  0.0000  0.0000  0.0000
Ir  0.2500  0.2500  0.2500
Ir  0.7500  0.7500  0.7500
Os  0.5000  0.5000  0.5000

Values from the calculation:
Crystal system ... cubic
Relative energy among the computed polymorphs ... 534 meV/atom
Energy of formation from the pure elements ... 87.3 kJ/mol of atoms



5.
Ca2ZrMn: optimized geometry, GGA-PBE.

abc: 5.2559 5.2559 5.2559
angles: 60.00 60.00 60.00
Positions (direct):
Ca  0.0000  0.0000  0.0000
Ca  0.2500  0.2500  0.2500
Zr  0.7500  0.7500  0.7500
Mn  0.5000  0.5000  0.5000

Values from the calculation:
Crystal system ... cubic
Relative energy among the computed polymorphs ... 320 meV/atom
Energy of formation from the pure elements ... 50.1 kJ/mol of atoms



6.
SiOs2Cl: optimized geometry, GGA-PBE.

abc: 2.8365 2.8365 9.5734
angles: 90.00 90.00 121.12
Positions (direct):
Si  0.0000  0.0000  0.0000
Os  0.0000  0.0000  0.4545
Os  0.5000  0.5000  0.2172
Cl  0.5000  0.5000  0.6654

Values from the calculation:
Crystal system ... orthorhombic
Relative energy among the computed polymorphs ... 338 meV/atom



no.,calculated total energy (eV/cell)
1,-101.4
2,-45.6
3,-33.6
4,-27.7
5,-19.6
6,-27.1